Entry 1:
# La2PrNd6Er3 | Alexandria via LeMat-Bulk | GGA-PBE | relaxed
# mass density: 7.171 g/cm3
# formation energy: 20.5 meV/atom
data_La2PrNd6Er3
_cell_length_a 6.337
_cell_length_b 10.985
_cell_length_c 12.069
_cell_angle_alpha 90.00
_cell_angle_beta 100.09
_cell_angle_gamma 90.00
_space_group_name_H-M_alt 'C 1 2/m 1'
_space_group_IT_number 12
loop_
_space_group_symop_operation_xyz
'x,y,z'
'-x,-y,-z'
'-x,y,-z'
'x,-y,z'
'x+1/2,y+1/2,z'
'-x+1/2,-y+1/2,-z'
'-x+1/2,y+1/2,-z'
'x+1/2,-y+1/2,z'
loop_
_atom_site_label
_atom_site_fract_x
_atom_site_fract_y
_atom_site_fract_z
_atom_site_occupancy
La1 0.000 0.167 0.000 1
Pr1 0.000 0.500 0.000 1
Nd1 0.247 0.167 0.743 1
Nd2 0.247 0.500 0.743 1
Er1 0.000 0.000 0.500 1
Er2 0.000 0.333 0.500 1

***

Entry 2:
# LaPr4Nd2Er | Alexandria via LeMat-Bulk | GGA-PBE | relaxed
# mass density: 6.788 g/cm3
# formation energy: 16.1 meV/atom
data_LaPr4Nd2Er
_cell_length_a 6.355
_cell_length_b 3.700
_cell_length_c 12.243
_cell_angle_alpha 90.00
_cell_angle_beta 100.24
_cell_angle_gamma 90.00
_space_group_name_H-M_alt 'P 1 2/m 1'
_space_group_IT_number 10
loop_
_space_group_symop_operation_xyz
'x,y,z'
'-x,-y,-z'
'-x,y,-z'
'x,-y,z'
loop_
_atom_site_label
_atom_site_fract_x
_atom_site_fract_y
_atom_site_fract_z
_atom_site_occupancy
La1 0.000 0.000 0.000 1
Pr1 0.250 0.000 0.753 1
Pr2 0.252 0.500 0.250 1
Nd1 0.000 0.500 0.500 1
Nd2 0.500 0.000 0.500 1
Er1 0.500 0.500 0.000 1

***

Entry 3:
# LaPr2Nd6Er | Alexandria via LeMat-Bulk | GGA-PBE | relaxed
# mass density: 6.802 g/cm3
# formation energy: 108.8 meV/atom
data_LaPr2Nd6Er
_cell_length_a 9.326
_cell_length_b 15.462
_cell_length_c 9.938
_cell_angle_alpha 90.00
_cell_angle_beta 97.96
_cell_angle_gamma 90.00
_space_group_name_H-M_alt 'C 1 2/c 1'
_space_group_IT_number 15
loop_
_space_group_symop_operation_xyz
'x,y,z'
'-x,-y,-z'
'-x,y,-z+1/2'
'x,-y,z+1/2'
'x+1/2,y+1/2,z'
'-x+1/2,-y+1/2,-z'
'-x+1/2,y+1/2,-z+1/2'
'x+1/2,-y+1/2,z+1/2'
loop_
_atom_site_label
_atom_site_fract_x
_atom_site_fract_y
_atom_site_fract_z
_atom_site_occupancy
La1 0.000 0.019 0.250 1
Pr1 0.247 0.050 0.544 1
Nd1 0.067 0.188 0.945 1
Nd2 0.098 0.395 0.118 1
Nd3 0.209 0.223 0.312 1
Er1 0.000 0.409 0.750 1

***

Entry 4:
# La2Pr5NdEr | Alexandria via LeMat-Bulk | GGA-PBE | relaxed
# mass density: 6.630 g/cm3
# formation energy: 245.9 meV/atom
data_La2Pr5NdEr
_cell_length_a 8.824
_cell_length_b 8.824
_cell_length_c 16.647
_cell_angle_alpha 90.00
_cell_angle_beta 90.00
_cell_angle_gamma 90.00
_space_group_name_H-M_alt 'I 4/m c m'
_space_group_IT_number 140
_space_group_name_Hall '-I 4 2c'
loop_
_atom_site_label
_atom_site_fract_x
_atom_site_fract_y
_atom_site_fract_z
_atom_site_occupancy
La1 0.120 0.380 0.000 1
Pr1 0.000 0.000 0.000 1
Pr2 0.219 0.281 0.357 1
Nd1 0.000 0.000 0.250 1
Er1 0.000 0.500 0.250 1

***

Entry 5:
# LaPr4Nd2Er2 | Alexandria via LeMat-Bulk | GGA-PBE | relaxed
# mass density: 7.016 g/cm3
# formation energy: 21.0 meV/atom
data_LaPr4Nd2Er2
_cell_length_a 15.567
_cell_length_b 5.193
_cell_length_c 8.185
_cell_angle_alpha 90.00
_cell_angle_beta 108.48
_cell_angle_gamma 90.00
_space_group_name_H-M_alt 'C 1 2/m 1'
_space_group_IT_number 12
loop_
_space_group_symop_operation_xyz
'x,y,z'
'-x,-y,-z'
'-x,y,-z'
'x,-y,z'
'x+1/2,y+1/2,z'
'-x+1/2,-y+1/2,-z'
'-x+1/2,y+1/2,-z'
'x+1/2,-y+1/2,z'
loop_
_atom_site_label
_atom_site_fract_x
_atom_site_fract_y
_atom_site_fract_z
_atom_site_occupancy
La1 0.000 0.000 0.000 1
Pr1 0.055 0.500 0.331 1
Pr2 0.222 0.000 0.329 1
Nd1 0.112 0.000 0.668 1
Er1 0.169 0.500 0.999 1

***

Entry 6:
# La2Pr6NdEr | Alexandria via LeMat-Bulk | GGA-PBE | relaxed
# mass density: 6.629 g/cm3
# formation energy: 106.0 meV/atom
data_La2Pr6NdEr
_cell_length_a 9.310
_cell_length_b 15.415
_cell_length_c 10.167
_cell_angle_alpha 90.00
_cell_angle_beta 99.87
_cell_angle_gamma 90.00
_space_group_name_H-M_alt 'C 1 2/c 1'
_space_group_IT_number 15
loop_
_space_group_symop_operation_xyz
'x,y,z'
'-x,-y,-z'
'-x,y,-z+1/2'
'x,-y,z+1/2'
'x+1/2,y+1/2,z'
'-x+1/2,-y+1/2,-z'
'-x+1/2,y+1/2,-z+1/2'
'x+1/2,-y+1/2,z+1/2'
loop_
_atom_site_label
_atom_site_fract_x
_atom_site_fract_y
_atom_site_fract_z
_atom_site_occupancy
La1 0.243 0.048 0.042 1
Pr1 0.070 0.189 0.445 1
Pr2 0.099 0.397 0.620 1
Pr3 0.204 0.219 0.811 1
Nd1 0.000 0.013 0.750 1
Er1 0.000 0.406 0.250 1

***

Entry 7:
# La2PrNd2Er2 | Alexandria via LeMat-Bulk | GGA-PBE | relaxed
# mass density: 7.147 g/cm3
# formation energy: 22.7 meV/atom
data_La2PrNd2Er2
_cell_length_a 11.547
_cell_length_b 5.154
_cell_length_c 8.211
_cell_angle_alpha 90.00
_cell_angle_beta 97.91
_cell_angle_gamma 90.00
_space_group_name_H-M_alt 'C 1 2/m 1'
_space_group_IT_number 12
loop_
_space_group_symop_operation_xyz
'x,y,z'
'-x,-y,-z'
'-x,y,-z'
'x,-y,z'
'x+1/2,y+1/2,z'
'-x+1/2,-y+1/2,-z'
'-x+1/2,y+1/2,-z'
'x+1/2,-y+1/2,z'
loop_
_atom_site_label
_atom_site_fract_x
_atom_site_fract_y
_atom_site_fract_z
_atom_site_occupancy
La1 0.142 0.000 0.428 1
Pr1 0.000 0.000 0.000 1
Nd1 0.215 0.500 0.142 1
Er1 0.071 0.500 0.714 1

***

Entry 8:
# LaPr5NdEr2 | Alexandria via LeMat-Bulk | GGA-PBE | relaxed
# mass density: 6.865 g/cm3
# formation energy: 144.2 meV/atom
data_LaPr5NdEr2
_cell_length_a 5.776
_cell_length_b 20.603
_cell_length_c 10.749
_cell_angle_alpha 90.00
_cell_angle_beta 90.00
_cell_angle_gamma 90.00
_space_group_name_H-M_alt 'C m c 21'
_space_group_IT_number 36
loop_
_space_group_symop_operation_xyz
'x,y,z'
'-x,-y,z+1/2'
'-x,y,z'
'x,-y,z+1/2'
'x+1/2,y+1/2,z'
'-x+1/2,-y+1/2,z+1/2'
'-x+1/2,y+1/2,z'
'x+1/2,-y+1/2,z+1/2'
loop_
_atom_site_label
_atom_site_fract_x
_atom_site_fract_y
_atom_site_fract_z
_atom_site_occupancy
La1 0.000 0.084 0.000 1
Pr1 0.000 0.024 0.294 1
Pr2 0.000 0.111 0.582 1
Pr3 0.000 0.206 0.257 1
Pr4 0.000 0.219 0.866 1
Pr5 0.000 0.484 0.579 1
Nd1 0.000 0.301 0.565 1
Er1 0.000 0.383 0.878 1
Er2 0.000 0.388 0.288 1

***

| no. | electronic total energy (eV per cell) |
| --- | --- |
| 1 | -113.4 |
| 2 | -38.0 |
| 3 | -186.3 |
| 4 | -163.5 |
| 5 | -85.0 |
| 6 | -187.2 |
| 7 | -66.3 |
| 8 | -165.7 |